Entry from Alexandria via LeMat-Bulk: a geometry-optimized MnBe6Nb2 structure (GGA-PBE).

abc: 2.888 6.313 6.313
angles: 60.02 90.00 90.00
Last column: magnetic moment on the atom in μB.
Positions (direct):
Mn: 0.000 0.000 0.000  2.40
Be: 0.499 0.673 0.000  -0.03
Be: 0.501 0.000 0.327  -0.03
Be: 0.501 0.327 0.000  -0.03
Be: 0.500 0.673 0.327  -0.03
Be: 0.499 0.000 0.673  -0.03
Be: 0.500 0.327 0.673  -0.03
Nb: 0.000 0.333 0.333  0.04
Nb: 0.000 0.667 0.667  0.04

Values from the calculation:
energy relative to the elements: -0.102 eV per atom
VASP energy: -52.6 eV/cell